Entry 1:
MnBe2Tc | GGA-PBE | optimized geometry

```
data_MnBe2Tc
_cell_length_a 2.5908
_cell_length_b 2.5908
_cell_length_c 23.3848
_cell_angle_alpha 90.00
_cell_angle_beta 90.00
_cell_angle_gamma 120.00
_symmetry_space_group_name_H-M 'R -3 m'
_symmetry_Int_Tables_number 166
_symmetry_space_group_name_Hall '-R 3 2"'
loop_
_atom_site_label
_atom_site_type_symbol
_atom_site_fract_x
_atom_site_fract_y
_atom_site_fract_z
_atom_site_occupancy
Mn1 Mn 0.0000 0.0000 0.0000 1
Be1 Be 0.0000 0.0000 0.2528 1
Tc1 Tc 0.0000 0.0000 0.5000 1
```

Properties
Energy relative to the lowest polymorph listed for this composition = 1.369 eV/f.u.
M_tot = 5.34 μB per cell
E = -6.56 eV per atom



Entry 2:
MnBeTc2 | GGA-PBE | optimized geometry

```
data_MnBeTc2
_cell_length_a 5.944
_cell_length_b 5.954
_cell_length_c 2.784
_cell_angle_alpha 90.00
_cell_angle_beta 90.00
_cell_angle_gamma 90.00
_symmetry_space_group_name_H-M 'C m m m'
_symmetry_Int_Tables_number 65
_symmetry_space_group_name_Hall '-C 2 2'
loop_
_atom_site_label
_atom_site_type_symbol
_atom_site_fract_x
_atom_site_fract_y
_atom_site_fract_z
_atom_site_occupancy
Mn1 Mn 0.000 0.000 0.000 1
Be1 Be 0.000 0.500 0.000 1
Tc1 Tc 0.250 0.250 0.500 1
```

Properties
M_tot = 2.63 μB per cell
E = -8.33 eV per atom



Entry 3:
MnBeTc2 | GGA-PBE | optimized geometry

```
data_MnBeTc2
_cell_length_a 6.389
_cell_length_b 6.389
_cell_length_c 5.170
_cell_angle_alpha 90.00
_cell_angle_beta 90.00
_cell_angle_gamma 90.00
_symmetry_space_group_name_H-M 'I -4 2 d'
_symmetry_Int_Tables_number 122
_symmetry_space_group_name_Hall 'I -4 2bw'
loop_
_atom_site_label
_atom_site_type_symbol
_atom_site_fract_x
_atom_site_fract_y
_atom_site_fract_z
_atom_site_occupancy
Mn1 Mn 0.000 0.000 0.000 1
Be1 Be 0.000 0.000 0.500 1
Tc1 Tc 0.230 0.250 0.625 1
```

Properties
M_tot = 7.60 μB per cell
E = -7.88 eV per atom



Entry 4:
MnBe2Tc | GGA-PBE | optimized geometry

```
data_MnBe2Tc
_cell_length_a 5.478
_cell_length_b 5.478
_cell_length_c 5.478
_cell_angle_alpha 90.00
_cell_angle_beta 90.00
_cell_angle_gamma 90.00
_symmetry_space_group_name_H-M 'F m -3 m'
_symmetry_Int_Tables_number 225
_symmetry_space_group_name_Hall '-F 4 2 3'
loop_
_atom_site_label
_atom_site_type_symbol
_atom_site_fract_x
_atom_site_fract_y
_atom_site_fract_z
_atom_site_occupancy
Mn1 Mn 0.000 0.000 0.000 1
Be1 Be 0.250 0.250 0.250 1
Tc1 Tc 0.000 0.000 0.500 1
```

Properties
Energy relative to the lowest polymorph listed for this composition = 0.873 eV/f.u.
M_tot = 0.00 μB per cell
E = -6.68 eV per atom